[1]
BiPtSN2: optimized geometry, PBE.

- Polymorph energy (0 for the lowest one): 0.000 eV/f.u.
- Space-group type: No. 123
- Formation energy without anion corrections: 1.096 eV per atom

Geometry as POSCAR:
```
BiPtSN2
1.0
4.008 0.000 0.000
0.000 4.008 0.000
0.000 0.000 5.038
Bi Pt S N
1 1 1 2
direct
0.000 0.000 0.000
0.500 0.500 0.500
0.500 0.500 0.000
0.000 0.500 0.500
0.500 0.000 0.500
```


[2]
CaPmSnSb: optimized geometry, PBE.

- Space-group type: No. 216
- Formation energy without anion corrections: -0.648 eV per atom

Geometry as POSCAR:
```
CaPmSnSb
1.0
7.750 0.000 0.000
0.000 7.750 0.000
0.000 0.000 7.750
Ca Pm Sn Sb
4 4 4 4
direct
0.000 0.000 0.000
0.000 0.500 0.500
0.500 0.000 0.500
0.500 0.500 0.000
0.000 0.000 0.500
0.000 0.500 0.000
0.500 0.000 0.000
0.500 0.500 0.500
0.250 0.250 0.250
0.250 0.750 0.750
0.750 0.250 0.750
0.750 0.750 0.250
0.250 0.250 0.750
0.250 0.750 0.250
0.750 0.250 0.250
0.750 0.750 0.750
```


[3]
NaHfMo3: optimized geometry, PBE.

- Polymorph energy (0 for the lowest one): 0.000 eV/f.u.
- Energy relative to the elements: 1.950 eV per atom
- Space-group type: No. 221

Geometry as POSCAR:
```
NaHfMo3
1.0
4.881 0.000 0.000
0.000 4.881 0.000
0.000 0.000 4.881
Na Hf Mo
1 1 3
direct
0.000 0.000 0.000
0.500 0.500 0.500
0.000 0.500 0.500
0.500 0.000 0.500
0.500 0.500 0.000
```


[4]
CoHg2Br: optimized geometry, PBE.

- Polymorph energy (0 for the lowest one): 0.215 eV/f.u.
- Space-group type: No. 8
- Formation energy without anion corrections: 0.147 eV per atom

Geometry as POSCAR:
```
CoHg2Br
1.0
9.899 0.000 0.000
0.000 3.329 0.000
-2.255 0.000 6.116
Co Hg Br
2 4 2
direct
0.000 0.000 0.000
0.500 0.500 0.000
0.037 0.500 0.345
0.248 0.500 0.082
0.537 0.000 0.345
0.748 0.000 0.082
0.401 0.000 0.712
0.901 0.500 0.712
```


[5]
K2RbHgPb: optimized geometry, PBE.

- Polymorph energy (0 for the lowest one): 0.000 eV/f.u.
- Energy relative to the elements: -0.039 eV per atom
- Space-group type: No. 123

Geometry as POSCAR:
```
K2RbHgPb
1.0
6.646 0.000 0.000
0.000 6.646 0.000
0.000 0.000 5.913
K Rb Hg Pb
2 1 1 1
direct
0.000 0.500 0.000
0.500 0.000 0.000
0.000 0.000 0.500
0.500 0.500 0.000
0.500 0.500 0.500
```


[6]
HoAg2AsSe4: optimized geometry, PBE.

- Space-group type: No. 74
- Formation energy without anion corrections: -0.598 eV per atom

Geometry as POSCAR:
```
HoAg2AsSe4
1.0
-3.965 4.087 5.723
3.965 -4.087 5.723
3.965 4.087 -5.723
Ho Ag As Se
2 4 2 8
direct
0.000 0.000 0.000
0.500 0.000 0.500
0.000 0.500 0.500
0.500 0.000 0.000
0.500 0.500 0.000
0.500 0.500 0.500
0.000 0.000 0.500
0.000 0.500 0.000
0.237 0.750 0.488
0.238 0.250 0.988
0.241 0.241 0.500
0.241 0.742 0.000
0.759 0.258 0.000
0.759 0.759 0.500
0.762 0.750 0.012
0.763 0.250 0.512
```


[7]
CaPaO3: optimized geometry, PBE.

- Space-group type: No. 62
- Formation energy without anion corrections: -3.196 eV per atom

Geometry as POSCAR:
```
CaPaO3
1.0
5.781 0.000 0.000
0.000 10.085 0.000
0.000 0.000 5.540
Ca Pa O
4 4 12
direct
0.000 0.000 0.000
0.000 0.500 0.000
0.500 0.000 0.500
0.500 0.500 0.500
0.031 0.250 0.456
0.469 0.750 0.956
0.531 0.250 0.044
0.969 0.750 0.544
0.157 0.750 0.199
0.234 0.616 0.728
0.234 0.884 0.728
0.266 0.116 0.228
0.266 0.384 0.228
0.343 0.250 0.699
0.657 0.750 0.301
0.734 0.616 0.772
0.734 0.884 0.772
0.766 0.116 0.272
0.766 0.384 0.272
0.843 0.250 0.801
```


[8]
CaTe5: optimized geometry, PBE.

- Polymorph energy (0 for the lowest one): 0.000 eV/f.u.
- Space-group type: No. 8
- Formation energy without anion corrections: -0.404 eV per atom

Geometry as POSCAR:
```
CaTe5
1.0
11.735 0.000 0.000
0.000 4.056 0.000
-1.471 0.000 8.989
Ca Te
2 10
direct
0.000 0.000 0.000
0.500 0.500 0.000
0.041 0.000 0.375
0.120 0.500 0.680
0.219 0.500 0.010
0.379 0.000 0.226
0.397 0.000 0.735
0.541 0.500 0.375
0.620 0.000 0.680
0.719 0.000 0.010
0.879 0.500 0.226
0.897 0.500 0.735
```


[9]
DyZn2Ni3: optimized geometry, PBE.

- Energy relative to the elements: -0.283 eV per atom
- Space-group type: No. 63

Geometry as POSCAR:
```
DyZn2Ni3
1.0
4.688 -3.752 0.000
4.688 3.752 0.000
0.000 0.000 5.169
Dy Zn Ni
2 4 6
direct
0.170 0.830 0.750
0.830 0.170 0.250
0.279 0.279 0.000
0.279 0.279 0.500
0.721 0.721 0.000
0.721 0.721 0.500
0.074 0.654 0.250
0.346 0.926 0.250
0.473 0.527 0.250
0.527 0.473 0.750
0.654 0.074 0.750
0.926 0.346 0.750
```


[10]
CeYGaIr: optimized geometry, PBE.

- Polymorph energy (0 for the lowest one): 0.000 eV/f.u.
- Energy relative to the elements: -0.682 eV per atom
- Space-group type: No. 38

Geometry as POSCAR:
```
CeYGaIr
1.0
4.453 0.000 0.000
0.000 4.172 0.000
0.000 0.000 9.956
Ce Y Ga Ir
2 2 2 2
direct
0.000 0.000 0.000
0.000 0.500 0.500
0.500 0.000 0.714
0.500 0.500 0.214
0.500 0.000 0.421
0.500 0.500 0.921
0.000 0.000 0.274
0.000 0.500 0.774
```


[11]
NdEuYIn: optimized geometry, PBE.

- Energy relative to the elements: -0.152 eV per atom
- Space-group type: No. 216

Geometry as POSCAR:
```
NdEuYIn
1.0
7.896 0.000 0.000
0.000 7.896 0.000
0.000 0.000 7.896
Nd Eu Y In
4 4 4 4
direct
0.000 0.000 0.000
0.000 0.500 0.500
0.500 0.000 0.500
0.500 0.500 0.000
0.250 0.250 0.750
0.250 0.750 0.250
0.750 0.250 0.250
0.750 0.750 0.750
0.000 0.000 0.500
0.000 0.500 0.000
0.500 0.000 0.000
0.500 0.500 0.500
0.250 0.250 0.250
0.250 0.750 0.750
0.750 0.250 0.750
0.750 0.750 0.250
```


[12]
BC2: optimized geometry, PBE.

- Polymorph energy (0 for the lowest one): 0.283 eV/f.u.
- Energy relative to the elements: 0.334 eV per atom
- Space-group type: No. 8

Geometry as POSCAR:
```
BC2
1.0
6.581 -1.290 0.000
6.581 1.290 0.000
-1.267 0.000 4.501
B C
4 8
direct
0.000 0.000 0.000
0.024 0.024 0.650
0.656 0.656 0.277
0.862 0.862 0.785
0.159 0.159 0.793
0.202 0.202 0.511
0.318 0.318 0.580
0.360 0.360 0.301
0.480 0.480 0.429
0.531 0.531 0.184
0.701 0.701 0.981
0.825 0.825 0.105
```


[13]
SrTeOs2: optimized geometry, PBE.

- Polymorph energy (0 for the lowest one): 0.000 eV/f.u.
- Space-group type: No. 160
- Formation energy without anion corrections: 0.105 eV per atom

Geometry as POSCAR:
```
SrTeOs2
1.0
4.363 0.000 0.000
-2.182 3.779 0.000
0.000 0.000 17.771
Sr Te Os
3 3 6
direct
0.000 0.000 0.000
0.333 0.667 0.667
0.667 0.333 0.333
0.000 0.000 0.799
0.333 0.667 0.466
0.667 0.333 0.133
0.000 0.000 0.209
0.000 0.000 0.542
0.333 0.667 0.209
0.333 0.667 0.876
0.667 0.333 0.542
0.667 0.333 0.875
```


[14]
InHg2Ru2: optimized geometry, PBE.

- Energy relative to the elements: 0.569 eV per atom
- Space-group type: No. 139

Geometry as POSCAR:
```
InHg2Ru2
1.0
3.497 0.000 0.000
0.000 3.497 0.000
0.000 0.000 17.967
In Hg Ru
2 4 4
direct
0.000 0.000 0.000
0.500 0.500 0.500
0.000 0.000 0.384
0.000 0.000 0.616
0.500 0.500 0.116
0.500 0.500 0.884
0.000 0.500 0.250
0.000 0.500 0.750
0.500 0.000 0.250
0.500 0.000 0.750
```


[15]
NaAg2F8: optimized geometry, PBE.

- Space-group type: No. 2
- Formation energy without anion corrections: -1.241 eV per atom

Geometry as POSCAR:
```
NaAg2F8
1.0
4.901 0.000 0.000
0.202 6.153 0.000
0.217 2.139 5.787
Na Ag F
1 2 8
direct
0.000 0.000 0.000
0.255 0.370 0.370
0.745 0.630 0.630
0.245 0.567 0.567
0.249 0.094 0.645
0.250 0.646 0.095
0.272 0.178 0.178
0.728 0.822 0.822
0.750 0.354 0.905
0.751 0.906 0.355
0.755 0.433 0.433
```


[16]
Ca2HoZn3: optimized geometry, PBE.

- Energy relative to the elements: -0.274 eV per atom
- Space-group type: No. 123

Geometry as POSCAR:
```
Ca2HoZn3
1.0
3.631 0.000 0.000
0.000 3.631 0.000
0.000 0.000 10.915
Ca Ho Zn
2 1 3
direct
0.000 0.000 0.170
0.000 0.000 0.830
0.000 0.000 0.500
0.500 0.500 0.000
0.500 0.500 0.348
0.500 0.500 0.652
```


[17]
PrHf2N4: optimized geometry, PBE.

- Polymorph energy (0 for the lowest one): 0.298 eV/f.u.
- Space-group type: No. 70
- Formation energy without anion corrections: -1.346 eV per atom

Geometry as POSCAR:
```
PrHf2N4
1.0
0.000 4.718 4.724
4.713 0.000 4.724
4.713 4.718 0.000
Pr Hf N
2 4 8
direct
0.125 0.125 0.125
0.875 0.875 0.875
0.000 0.500 0.500
0.500 0.000 0.500
0.500 0.500 0.000
0.500 0.500 0.500
0.268 0.268 0.268
0.268 0.268 0.696
0.268 0.696 0.268
0.304 0.732 0.732
0.696 0.268 0.268
0.732 0.304 0.732
0.732 0.732 0.304
0.732 0.732 0.732
```


[18]
ReSb3Pd: optimized geometry, PBE.

- Polymorph energy (0 for the lowest one): 0.000 eV/f.u.
- Space-group type: No. 221
- Formation energy without anion corrections: 0.800 eV per atom

Geometry as POSCAR:
```
ReSb3Pd
1.0
5.142 0.000 0.000
0.000 5.142 0.000
0.000 0.000 5.142
Re Sb Pd
1 3 1
direct
0.000 0.000 0.000
0.000 0.000 0.500
0.000 0.500 0.000
0.500 0.000 0.000
0.500 0.500 0.500
```


[19]
BaGaF3: optimized geometry, PBE.

- Polymorph energy (0 for the lowest one): 0.000 eV/f.u.
- Space-group type: No. 221
- Formation energy without anion corrections: -2.601 eV per atom

Geometry as POSCAR:
```
BaGaF3
1.0
5.089 0.000 0.000
0.000 5.089 0.000
0.000 0.000 5.089
Ba Ga F
1 1 3
direct
0.000 0.000 0.000
0.500 0.500 0.500
0.000 0.000 0.500
0.000 0.500 0.000
0.500 0.000 0.000
```


[20]
Dy2HoTm12: optimized geometry, PBE.

- Energy relative to the elements: 0.034 eV per atom
- Space-group type: No. 2

Geometry as POSCAR:
```
Dy2HoTm12
1.0
3.519 0.000 0.000
-0.002 5.488 0.000
-1.732 -2.708 23.635
Dy Ho Tm
2 1 12
direct
0.138 0.136 0.277
0.862 0.864 0.723
0.000 0.000 0.000
0.094 0.593 0.190
0.227 0.725 0.457
0.300 0.802 0.597
0.340 0.341 0.677
0.428 0.930 0.857
0.468 0.468 0.934
0.532 0.532 0.066
0.572 0.070 0.143
0.660 0.659 0.323
0.700 0.198 0.403
0.773 0.275 0.543
0.906 0.407 0.810
```


Number 1: magnetization 1.47 μB per formula unit, VASP energy -5.04 eV per atom. Number 2: magnetization 0.00 μB per formula unit, VASP energy -4.37 eV per atom. Number 3: magnetization 0.00 μB per formula unit, VASP energy -6.80 eV per atom. Number 4: magnetization 1.82 μB per formula unit, VASP energy -2.20 eV per atom. Number 5: magnetization 0.00 μB per formula unit, VASP energy -1.47 eV per atom. Number 6: magnetization 0.00 μB per formula unit, VASP energy -4.21 eV per atom. Number 7: magnetization 0.85 μB per formula unit, VASP energy -8.47 eV per atom. Number 8: magnetization 0.00 μB per formula unit, VASP energy -3.36 eV per atom. Number 9: magnetization 0.00 μB per formula unit, VASP energy -4.37 eV per atom. Number 10: magnetization 0.19 μB per formula unit, VASP energy -6.75 eV per atom. Number 11: magnetization 7.59 μB per formula unit, VASP energy -6.21 eV per atom. Number 12: magnetization 0.00 μB per formula unit, VASP energy -8.04 eV per atom. Number 13: magnetization 0.00 μB per formula unit, VASP energy -6.72 eV per atom. Number 14: magnetization 0.00 μB per formula unit, VASP energy -3.81 eV per atom. Number 15: magnetization 1.16 μB per formula unit, VASP energy -3.24 eV per atom. Number 16: magnetization 0.00 μB per formula unit, VASP energy -2.34 eV per atom. Number 17: magnetization 0.00 μB per formula unit, VASP energy -9.63 eV per atom. Number 18: magnetization 0.00 μB per formula unit, VASP energy -5.20 eV per atom. Number 19: magnetization 0.00 μB per formula unit, VASP energy -4.71 eV per atom. Number 20: magnetization 0.00 μB per formula unit, VASP energy -4.46 eV per atom.